# Mo2NO

An optimized crystal structure of Mo2NO (PBE+U, the Alexandria database).

Output
DFT total energy = -25.3 eV for the cell shown

abc: 3.9130 3.9130 3.9130
angles: 60.00 60.00 60.00
Site moments in Bohr magnetons follow the coordinates.
Fractional positions:
1 Mo 0.2500 0.2500 0.2500  1.14
2 Mo 0.7500 0.7500 0.7500  1.14
3 O 0.5000 0.5000 0.5000  -0.05
4 N 0.0000 0.0000 0.0000  -0.16



# Mo2NO

An optimized crystal structure of Mo2NO (PBE+U, the Alexandria database).

Output
DFT total energy = -55.9 eV for the cell shown

abc: 4.8436 4.8436 5.9090
angles: 65.80 65.80 90.00
Site moments in Bohr magnetons follow the coordinates.
Fractional positions:
1 Mo 0.6089 0.1250 0.2500  2.03
2 Mo 0.1411 0.6250 0.2500  2.03
3 Mo 0.3750 0.3911 0.7500  2.00
4 Mo 0.8750 0.8589 0.7500  2.02
5 O 0.0000 0.0000 0.0000  0.05
6 O 0.7500 0.2500 0.5000  0.05
7 N 0.5000 0.5000 0.0000  -0.07
8 N 0.2500 0.7500 0.5000  -0.07



# MoNO3

An optimized crystal structure of MoNO3 (PBE+U, the Alexandria database).

Output
DFT total energy = -30.4 eV for the cell shown

abc: 3.8521 3.8521 3.8521
angles: 90.00 90.00 90.00
Site moments in Bohr magnetons follow the coordinates.
Fractional positions:
1 Mo 0.0000 0.0000 0.0000  0.36
2 O 0.0000 0.5000 0.0000  -0.04
3 O 0.0000 0.0000 0.5000  0.04
4 O 0.5000 0.0000 0.0000  -0.06
5 N 0.5000 0.5000 0.5000  1.85



# MoNO3

An optimized crystal structure of MoNO3 (PBE+U, the Alexandria database).

Output
DFT total energy = -61.6 eV for the cell shown

abc: 6.2161 8.8309 5.4714
angles: 79.93 85.06 38.83
Site moments in Bohr magnetons follow the coordinates.
Fractional positions:
1 Mo 0.0387 0.3904 0.5092  0.02
2 Mo 0.3295 0.9095 0.5453  0.02
3 N 0.5523 0.3997 0.8608  1.93
4 N 0.8158 0.9001 0.1937  1.93
5 O 0.0441 0.2076 0.3235  0.01
6 O 0.3240 0.0922 0.7310  0.01
7 O 0.3016 0.3813 0.3635  0.02
8 O 0.5642 0.6852 0.3250  0.01
9 O 0.0666 0.9185 0.6910  0.02
10 O 0.8039 0.6146 0.7295  0.01



# MoOsN2O

An optimized crystal structure of MoOsN2O (PBE+U, the Alexandria database).

Output
DFT total energy = -36.9 eV for the cell shown

abc: 3.9000 3.9000 3.9253
angles: 90.00 90.00 90.00
Site moments in Bohr magnetons follow the coordinates.
Fractional positions:
1 Mo 0.5000 0.5000 0.5000  3.68
2 Os 0.0000 0.0000 0.0000  0.34
3 O 0.0000 0.0000 0.5000  0.04
4 N 0.0000 0.5000 0.0000  -0.19
5 N 0.5000 0.0000 0.0000  -0.19



# MoOsN2O

An optimized crystal structure of MoOsN2O (PBE+U, the Alexandria database).

Output
DFT total energy = -33.8 eV for the cell shown

abc: 4.0185 4.0185 3.8131
angles: 90.00 90.00 90.00
Site moments in Bohr magnetons follow the coordinates.
Fractional positions:
1 Mo 0.0000 0.0000 0.0000  0.54
2 Os 0.5000 0.5000 0.5000  2.71
3 O 0.0000 0.0000 0.5000  0.14
4 N 0.0000 0.5000 0.0000  -0.08
5 N 0.5000 0.0000 0.0000  -0.08



# MoP2NO

An optimized crystal structure of MoP2NO (PBE+U, the Alexandria database).

Output
DFT total energy = -26.7 eV for the cell shown

abc: 3.7936 3.7936 4.2261
angles: 90.00 90.00 90.00
Site moments in Bohr magnetons follow the coordinates.
Fractional positions:
1 P 0.0000 0.5000 0.0000  0.16
2 P 0.5000 0.0000 0.0000  0.16
3 Mo 0.5000 0.5000 0.5000  -2.77
4 O 0.0000 0.0000 0.5000  0.33
5 N 0.0000 0.0000 0.0000  0.03



# MoP2NO

An optimized crystal structure of MoP2NO (PBE+U, the Alexandria database).

Output
DFT total energy = -25.5 eV for the cell shown

abc: 4.8174 4.8174 3.8119
angles: 90.00 90.00 90.00
Site moments in Bohr magnetons follow the coordinates.
Fractional positions:
1 P 0.0000 0.5000 0.0000  -0.37
2 P 0.5000 0.0000 0.0000  -0.37
3 Mo 0.0000 0.0000 0.0000  1.01
4 O 0.0000 0.0000 0.5000  -0.19
5 N 0.5000 0.5000 0.5000  1.39



# Pa3MoN6O2

An optimized crystal structure of Pa3MoN6O2 (PBE+U, the Alexandria database).

Output
DFT total energy = -110.3 eV for the cell shown

abc: 4.7383 6.7778 6.5402
angles: 121.21 88.85 90.00
Fractional positions:
1 Pa 0.0000 0.5000 0.0000
2 Pa 0.5000 0.5000 0.5000
3 Pa 0.5000 0.0000 0.5000
4 Mo 0.5000 0.0000 0.0000
5 N 0.7299 0.3083 0.1474
6 N 0.2701 0.6917 0.8526
7 N 0.6961 0.8384 0.6767
8 N 0.3039 0.1616 0.3233
9 N 0.2701 0.1609 0.8526
10 N 0.7299 0.8391 0.1474
11 O 0.2533 0.6630 0.3260
12 O 0.7467 0.3370 0.6740



# Pa3MoN2O6

An optimized crystal structure of Pa3MoN2O6 (PBE+U, the Alexandria database).

Output
DFT total energy = -112.5 eV for the cell shown

abc: 4.6088 6.9704 6.6253
angles: 121.74 91.53 90.00
Site moments in Bohr magnetons follow the coordinates.
Fractional positions:
1 Pa 0.0000 0.5000 0.0000  0.05
2 Pa 0.5000 0.5000 0.5000  0.05
3 Pa 0.5000 0.0000 0.5000  0.05
4 Mo 0.5000 0.0000 0.0000  2.65
5 N 0.2639 0.6648 0.3297  0.00
6 N 0.7361 0.3352 0.6703  0.00
7 O 0.7419 0.3284 0.1629  0.00
8 O 0.2581 0.6716 0.8371  0.00
9 O 0.7079 0.8336 0.6672  0.01
10 O 0.2921 0.1664 0.3328  0.01
11 O 0.2581 0.1654 0.8371  0.00
12 O 0.7419 0.8346 0.1629  0.00



# MoPbNO2

An optimized crystal structure of MoPbNO2 (PBE+U, the Alexandria database).

Output
DFT total energy = -32.7 eV for the cell shown

abc: 4.1722 4.1722 4.0234
angles: 90.00 90.00 90.00
Site moments in Bohr magnetons follow the coordinates.
Fractional positions:
1 Pb 0.5000 0.5000 0.5000  -0.01
2 Mo 0.0000 0.0000 0.0000  1.22
3 O 0.0000 0.5000 0.0000  0.00
4 O 0.5000 0.0000 0.0000  0.00
5 N 0.0000 0.0000 0.5000  -0.18



# MoPbN2O

An optimized crystal structure of MoPbN2O (PBE+U, the Alexandria database).

Output
DFT total energy = -25.3 eV for the cell shown

abc: 4.3633 4.3633 4.2224
angles: 90.00 90.00 90.00
Site moments in Bohr magnetons follow the coordinates.
Fractional positions:
1 Pb 0.0000 0.0000 0.0000  0.02
2 Mo 0.5000 0.5000 0.5000  3.71
3 O 0.0000 0.0000 0.5000  -0.18
4 N 0.0000 0.5000 0.0000  -0.70
5 N 0.5000 0.0000 0.0000  -0.70



In Å³ per atom, the V values for the records above are, in order, 10.6; 14.1; 11.4; 18.5; 11.9; 12.3; 12.2; 17.7; 15.0; 15.1; 14.0; 16.1.